Record 1
Ho2TmPaBi4: relaxed, PBE.

Cell lengths 4.4504, 7.7225, 7.7284 Å; angles 109.26, 90.00, 90.00 degrees
Closest atoms and distances in Å follow each position.
Fractional positions:
Ho (0.5000, 0.0000, 0.5000)  6 Bi 3.14
Ho (0.0000, 0.5000, 0.5000)  6 Bi 3.16
Tm (0.0000, 0.0000, 0.0000)  6 Bi 3.14
Pa (0.5000, 0.5000, 0.0000)  6 Bi 3.15-3.17
Bi (0.5000, 0.2481, 0.2489)  3 Ho 3.14-3.16, 2 Tm 3.14, 1 Pa 3.15
Bi (0.5000, 0.7519, 0.7511)  3 Ho 3.14-3.16, 2 Tm 3.14, 1 Pa 3.15
Bi (0.0000, 0.2466, 0.7481)  3 Ho 3.14-3.16, 1 Tm 3.14, 2 Pa 3.17
Bi (0.0000, 0.7534, 0.2519)  3 Ho 3.14-3.16, 1 Tm 3.14, 2 Pa 3.17

Values from the calculation:
Fermi-level density of states, states/eV/atom: 0.910
Electronic total energy, eV/atom: -5.449
Calculated formation energy, eV per atom: -0.618
Calculated volume, Å³/f.u.: 250.75

***

Record 2
Dy4Ta: relaxed, PBE.

Cell lengths 5.5091, 5.5091, 5.5091 Å; angles 90.00, 90.00, 90.00 degrees
Closest atoms and distances in Å follow each position.
Fractional positions:
Dy (0.0000, 0.0000, 0.0000)  12 Dy 3.90
Dy (0.5000, 0.0000, 0.5000)  2 Ta 2.75
Dy (0.0000, 0.5000, 0.5000)  2 Ta 2.75
Dy (0.5000, 0.5000, 0.0000)  2 Ta 2.75
Ta (0.5000, 0.5000, 0.5000)  6 Dy 2.75

Values from the calculation:
Fermi-level density of states, states/eV/atom: 1.101
Electronic total energy, eV/atom: -5.466
Calculated formation energy, eV per atom: 0.586
Calculated volume, Å³/f.u.: 167.20

***

Record 3
Sm5Te4I: relaxed, PBE.

Cell lengths 4.4184, 4.4184, 18.7109 Å; angles 83.22, 83.22, 60.00 degrees
Closest atoms and distances in Å follow each position.
Fractional positions:
Sm (0.3999, 0.3999, 0.8002)  6 Te 3.11-3.16
Sm (0.0000, 0.0000, 0.0000)  6 Te 3.15
Sm (0.6001, 0.6001, 0.1998)  6 Te 3.11-3.16
Sm (0.7957, 0.7957, 0.6130)  3 Te 3.06, 3 I 3.30
Sm (0.2043, 0.2043, 0.3870)  3 Te 3.06, 3 I 3.30
Te (0.9015, 0.9015, 0.2956)  6 Sm 3.06-3.11
Te (0.3002, 0.3002, 0.0994)  6 Sm 3.15-3.16
Te (0.6998, 0.6998, 0.9006)  6 Sm 3.15-3.16
Te (0.0985, 0.0985, 0.7044)  6 Sm 3.06-3.11
I (0.5000, 0.5000, 0.5000)  6 Sm 3.30

Values from the calculation:
Fermi-level density of states, states/eV/atom: 0.705
Electronic total energy, eV/atom: -5.002
Energy relative to the lowest polymorph listed for this composition, meV per atom: 0
Calculated volume, Å³/f.u.: 313.38
E_form (uncorrected), kJ/mol of atoms: -118.73

***

Record 4
Li6IrPt2: relaxed, PBE.

Cell lengths 7.3882, 7.3882, 2.5907 Å; angles 90.00, 90.00, 120.00 degrees
Closest atoms and distances in Å follow each position.
Fractional positions:
Li (0.6681, 0.0000, 0.5000)  5 Li 2.45-2.59
Li (0.0000, 0.6681, 0.5000)  5 Li 2.45-2.59
Li (0.3319, 0.0000, 0.5000)  5 Li 2.45-2.59
Li (0.6681, 0.6681, 0.5000)  5 Li 2.45-2.59
Li (0.0000, 0.3319, 0.5000)  5 Li 2.45-2.59
Li (0.3319, 0.3319, 0.5000)  5 Li 2.45-2.59
Ir (0.0000, 0.0000, 0.0000)  2 Ir 2.59, 12 Li 2.77
Pt (0.3333, 0.6667, 0.0000)  2 Pt 2.59, 12 Li 2.79
Pt (0.6667, 0.3333, 0.0000)  2 Pt 2.59, 12 Li 2.79

Values from the calculation:
Fermi-level density of states, states/eV/atom: 0.231
Electronic total energy, eV/atom: -4.030
Calculated formation energy, eV per atom: -0.427
Calculated volume, Å³/f.u.: 122.47

***

Record 5
DySc2Rh: relaxed, PBE.

Cell lengths 3.6465, 6.0292, 8.7672 Å; angles 90.00, 90.00, 107.61 degrees
Closest atoms and distances in Å follow each position.
Fractional positions:
Dy (0.9333, 0.8665, 0.2500)  2 Rh 2.86
Dy (0.0667, 0.1335, 0.7500)  2 Rh 2.86
Sc (0.3592, 0.7182, 0.5646)  2 Rh 2.70
Sc (0.6408, 0.2818, 0.4354)  2 Rh 2.70
Sc (0.3592, 0.7182, 0.9354)  2 Rh 2.70
Sc (0.6408, 0.2818, 0.0646)  2 Rh 2.70
Rh (0.7592, 0.5175, 0.7500)  4 Sc 2.70, 2 Dy 2.86
Rh (0.2408, 0.4825, 0.2500)  4 Sc 2.70, 2 Dy 2.86

Values from the calculation:
Fermi-level density of states, states/eV/atom: 1.499
Electronic total energy, eV/atom: -6.664
Calculated formation energy, eV per atom: -0.510
Energy relative to the lowest polymorph listed for this composition, meV per atom: 18
Calculated volume, Å³/f.u.: 91.86

***

Record 6
CdPb2Se: relaxed, PBE.

Cell lengths 5.3748, 5.3748, 5.3748 Å; angles 60.00, 60.00, 60.00 degrees
Closest atoms and distances in Å follow each position.
Fractional positions:
Cd (0.5000, 0.5000, 0.5000)  4 Se 3.29, 4 Pb 3.29
Pb (0.0000, 0.0000, 0.0000)  4 Se 3.29, 4 Pb 3.29
Pb (0.2500, 0.2500, 0.2500)  4 Pb 3.29, 4 Cd 3.29
Se (0.7500, 0.7500, 0.7500)  4 Cd 3.29, 4 Pb 3.29

Values from the calculation:
Fermi-level density of states, states/eV/atom: 0.962
Electronic total energy, eV/atom: -2.891
Energy relative to the lowest polymorph listed for this composition, meV per atom: 222
Calculated volume, Å³/f.u.: 109.79
E_form (uncorrected), kJ/mol of atoms: 6.04

***

Record 7
La3PmDy5: relaxed, PBE.

Cell lengths 8.7446, 8.7446, 10.0687 Å; angles 115.74, 115.74, 90.00 degrees
Closest atoms and distances in Å follow each position.
Fractional positions:
La (0.6178, 0.1178, 0.0000)  1 La 2.91, 2 Dy 3.05
La (0.3822, 0.8822, 0.0000)  1 La 2.91, 2 Dy 3.05
La (0.8822, 0.6178, 0.0000)  1 La 2.91, 2 Dy 3.05
La (0.1178, 0.3822, 0.0000)  1 La 2.91, 2 Dy 3.05
La (0.2500, 0.2500, 0.5000)  10 Dy 3.59-3.97
La (0.7500, 0.7500, 0.5000)  10 Dy 3.59-3.97
Pm (0.7500, 0.2500, 0.5000)  4 Dy 3.17
Pm (0.2500, 0.7500, 0.5000)  4 Dy 3.17
Dy (0.0736, 0.5736, 0.7219)  1 La 3.05, 1 Pm 3.17
Dy (0.6482, 0.1482, 0.7219)  1 La 3.05, 1 Pm 3.17
Dy (0.1482, 0.0736, 0.7219)  1 La 3.05, 1 Pm 3.17
Dy (0.5736, 0.6482, 0.7219)  1 La 3.05, 1 Pm 3.17
Dy (0.9264, 0.4264, 0.2781)  1 La 3.05, 1 Pm 3.17
Dy (0.3518, 0.8518, 0.2781)  1 La 3.05, 1 Pm 3.17
Dy (0.8518, 0.9264, 0.2781)  1 La 3.05, 1 Pm 3.17
Dy (0.4264, 0.3518, 0.2781)  1 La 3.05, 1 Pm 3.17
Dy (0.5000, 0.5000, 0.0000)  4 La 3.50, 8 Dy 3.83
Dy (0.0000, 0.0000, 0.0000)  4 La 3.50, 8 Dy 3.83

Values from the calculation:
Fermi-level density of states, states/eV/atom: 1.283
Electronic total energy, eV/atom: -4.490
Calculated formation energy, eV per atom: 0.237
Calculated volume, Å³/f.u.: 303.82

***

Record 8
ScTa2Al: relaxed, PBE.

Cell lengths 7.6349, 7.6349, 6.0482 Å; angles 50.86, 50.86, 90.00 degrees
Closest atoms and distances in Å follow each position.
Fractional positions:
Sc (0.0000, 0.0000, 0.0000)  2 Al 2.73, 4 Ta 2.93
Sc (0.7500, 0.2500, 0.5000)  2 Al 2.73, 4 Ta 2.93
Al (0.5000, 0.5000, 0.0000)  4 Ta 2.65, 2 Sc 2.73
Al (0.2500, 0.7500, 0.5000)  4 Ta 2.65, 2 Sc 2.73
Ta (0.5980, 0.1250, 0.2500)  2 Al 2.65, 2 Ta 2.76, 2 Sc 2.93
Ta (0.1520, 0.6250, 0.2500)  2 Al 2.65, 2 Ta 2.76, 2 Sc 2.93
Ta (0.3750, 0.4020, 0.7500)  2 Al 2.65, 2 Ta 2.76, 2 Sc 2.93
Ta (0.8750, 0.8480, 0.7500)  2 Al 2.65, 2 Ta 2.76, 2 Sc 2.93

Values from the calculation:
Fermi-level density of states, states/eV/atom: 0.859
Electronic total energy, eV/atom: -7.909
Calculated formation energy, eV per atom: 0.536
Calculated volume, Å³/f.u.: 79.47

***

Record 9
V2TeAsPb: relaxed, PBE.

Cell lengths 5.2736, 5.2635, 5.2736 Å; angles 90.00, 90.00, 90.00 degrees
Closest atoms and distances in Å follow each position.
Fractional positions:
Pb (0.0000, 0.0000, 0.0000)  2 As 2.63, 4 V 2.64
As (0.0000, 0.5000, 0.0000)  2 Pb 2.63
Te (0.5000, 0.5000, 0.5000)  8 V 3.73, 4 As 3.73
V (0.0000, 0.0000, 0.5000)  2 Pb 2.64
V (0.5000, 0.0000, 0.0000)  2 Pb 2.64

Values from the calculation:
Fermi-level density of states, states/eV/atom: 1.642
Electronic total energy, eV/atom: -4.618
Calculated volume, Å³/f.u.: 146.38
E_form (uncorrected), kJ/mol of atoms: 128.23

***

Record 10
CaPuIO6: relaxed, PBE.

Cell lengths 5.6805, 5.6805, 9.8408 Å; angles 90.00, 90.00, 120.00 degrees
Closest atoms and distances in Å follow each position.
Fractional positions:
Ca (0.0000, 0.0000, 0.0000)  6 O 2.45
Ca (0.0000, 0.0000, 0.5000)  6 O 2.45
Pu (0.6667, 0.3333, 0.2500)  6 O 2.16
Pu (0.3333, 0.6667, 0.7500)  6 O 2.16
I (0.3333, 0.6667, 0.2500)  6 O 2.10
I (0.6667, 0.3333, 0.7500)  6 O 2.10
O (0.6382, 0.6454, 0.1387)  1 I 2.10, 1 Pu 2.16
O (0.0072, 0.3617, 0.1387)  1 I 2.10, 1 Pu 2.16
O (0.3618, 0.0072, 0.6387)  1 I 2.10, 1 Pu 2.16
O (0.9928, 0.6383, 0.8613)  1 I 2.10, 1 Pu 2.16
O (0.3546, 0.3617, 0.3613)  1 I 2.10, 1 Pu 2.16
O (0.0072, 0.6454, 0.3613)  1 I 2.10, 1 Pu 2.16
O (0.6454, 0.0072, 0.8613)  1 I 2.10, 1 Pu 2.16
O (0.6382, 0.9928, 0.3613)  1 I 2.10, 1 Pu 2.16
O (0.9928, 0.3546, 0.6387)  1 I 2.10, 1 Pu 2.16
O (0.3546, 0.9928, 0.1387)  1 I 2.10, 1 Pu 2.16
O (0.6454, 0.6383, 0.6387)  1 I 2.10, 1 Pu 2.16
O (0.3618, 0.3546, 0.8613)  1 I 2.10, 1 Pu 2.16

Values from the calculation:
Fermi-level density of states, states/eV/atom: 0.851
Electronic total energy, eV/atom: -7.128
Calculated volume, Å³/f.u.: 137.50
E_form (uncorrected), kJ/mol of atoms: -177.05

***

Record 11
Cr2MoPtC: relaxed, PBE.

Cell lengths 3.8968, 3.8968, 4.0923 Å; angles 90.00, 90.00, 90.00 degrees
Closest atoms and distances in Å follow each position.
Fractional positions:
Cr (0.0000, 0.5000, 0.0000)  2 C 1.95
Cr (0.5000, 0.0000, 0.0000)  2 C 1.95
Mo (0.0000, 0.0000, 0.5000)  2 C 2.05
C (0.0000, 0.0000, 0.0000)  4 Cr 1.95, 2 Mo 2.05
Pt (0.5000, 0.5000, 0.5000)  4 Mo 2.76, 8 Cr 2.83

Values from the calculation:
Fermi-level density of states, states/eV/atom: 0.958
Electronic total energy, eV/atom: -9.119
Calculated formation energy, eV per atom: -0.050
Calculated volume, Å³/f.u.: 62.14

***

Record 12
HgAsPt: relaxed, PBE.

Cell lengths 3.4613, 3.4613, 6.0631 Å; angles 90.00, 90.00, 120.00 degrees
Closest atoms and distances in Å follow each position.
Fractional positions:
As (0.0000, 0.0000, 0.9433)  3 Pt 2.46
Hg (0.3333, 0.6667, 0.3507)  3 Pt 2.94, 3 As 3.18
Pt (0.6667, 0.3333, 0.7061)  3 As 2.46

Values from the calculation:
Fermi-level density of states, states/eV/atom: 0.330
Electronic total energy, eV/atom: -3.757
Calculated formation energy, eV per atom: -0.093
Energy relative to the lowest polymorph listed for this composition, meV per atom: 0
Calculated volume, Å³/f.u.: 62.91